Entry 1:
This record from the Alexandria database describes crystalline AcPdPb4 at its relaxed geometry. The functional is PBE.

The structure in POSCAR format:
```
AcPdPb4
1.0
-1.5634 3.3231 3.0465
0.0245 -3.2781 3.5883
15.5749 2.1766 1.8819
Pb Pd Ac
8 2 2
Direct
0.5000 0.5000 0.0000 Pb
0.7151 0.0000 0.4302 Pb
0.0000 0.0000 0.0000 Pb
0.8920 0.0000 0.7841 Pb
0.1080 0.0000 0.2159 Pb
0.2849 0.0000 0.5698 Pb
0.6070 0.5000 0.2141 Pb
0.3930 0.5000 0.7859 Pb
0.4467 0.0000 0.8933 Pd
0.5533 0.0000 0.1067 Pd
0.1938 0.5000 0.3876 Ac
0.8062 0.5000 0.6124 Ac
```

Computed properties:
Offset from the most stable computed form: 3.1 kJ per mole of atoms
Calculated formation energy: -0.27 eV per atom
Spin magnetization: 0.00 μB/f.u.
DOS(E_F): 0.471 states/eV/atom
Crystal system: orthorhombic


Entry 2:
This record from the Alexandria database describes crystalline BeCdPt3 at its relaxed geometry. The functional is PBE.

The structure in POSCAR format:
```
BeCdPt3
1.0
4.2871 0.0000 0.0000
0.0000 4.2871 0.0000
0.0000 0.0000 4.2871
Pt Cd Be
3 1 1
Direct
0.0000 0.5000 0.0000 Pt
0.5000 0.0000 0.0000 Pt
0.0000 0.0000 0.5000 Pt
0.5000 0.5000 0.5000 Cd
0.0000 0.0000 0.0000 Be
```

Computed properties:
Offset from the most stable computed form: 19.9 kJ per mole of atoms
Calculated formation energy: -0.23 eV per atom
Spin magnetization: 0.00 μB/f.u.
DOS(E_F): 0.011 states/eV/atom
Crystal system: cubic


Taking the records one at a time from the top gives raw total energy values of -4.292, -4.785 eV per atom.